Record 1
Computed, not measured: crystalline CsMgPb2F8 at its relaxed geometry at the PBE level of DFT.

## Properties
N(E_F) ... 5.0 states/eV/f.u.
Space-group type ... P-1
Raw formation energy ... -2549 meV per atom

Cell lengths 5.3402, 5.3265, 7.8046 Å; angles 86.38, 87.67, 87.57 degrees
Closest atoms and distances in Å follow each position.
Fractional positions:
1 Cs 0.0000 0.0000 0.5000  6 F 2.81-2.89
2 Mg 0.0000 0.0000 0.0000  6 F 1.99-2.20
3 Pb 0.4969 0.4954 0.7670  6 F 2.34-2.52
4 Pb 0.5031 0.5046 0.2330  6 F 2.34-2.52
5 F 0.1477 0.7671 0.1854  1 Mg 2.01
6 F 0.6988 0.7331 0.9910  1 Mg 2.20, 1 Pb 2.41
7 F 0.8100 0.1916 0.1773  1 Mg 1.99
8 F 0.8523 0.2329 0.8146  1 Mg 2.01
9 F 0.3012 0.2669 0.0090  1 Mg 2.20, 1 Pb 2.41
10 F 0.1900 0.8084 0.8227  1 Mg 1.99
11 F 0.5681 0.7200 0.4870  2 Pb 2.40-2.45, 1 F 2.48
12 F 0.4319 0.2800 0.5130  2 Pb 2.40-2.45, 1 F 2.48



Record 2
Computed, not measured: crystalline Cu2Pb2Se at its relaxed geometry at the PBE level of DFT.

## Properties
N(E_F) ... 2.8 states/eV/f.u.
Space-group type ... I4/mmm
Raw formation energy ... 192 meV per atom
Relative energy among the computed polymorphs ... 0.112 eV/atom

Cell lengths 5.3827, 5.3827, 5.3827 Å; angles 114.94, 114.94, 99.02 degrees
Closest atoms and distances in Å follow each position.
Fractional positions:
1 Cu 0.6638 0.6638 0.0000  1 Cu 2.29, 1 Se 2.35
2 Cu 0.3362 0.3362 0.0000  1 Cu 2.29, 1 Se 2.35
3 Pb 0.7500 0.2500 0.5000  4 Cu 2.96
4 Pb 0.2500 0.7500 0.5000  4 Cu 2.96
5 Se 0.0000 0.0000 0.0000  2 Cu 2.35



Record 3
Computed, not measured: crystalline Pm2Ru3 at its relaxed geometry at the PBE level of DFT.

## Properties
Energy relative to the elements ... -0.8 eV per formula unit
N(E_F) ... 3.3 states/eV/f.u.
Space-group type ... Cmce

Cell lengths 5.7276, 5.7277, 7.2841 Å; angles 90.00, 90.00, 62.66 degrees
Closest atoms and distances in Å follow each position.
Fractional positions:
1 Pm 0.1662 0.1662 0.5988  8 Ru 3.04-3.34
2 Pm 0.8338 0.8338 0.4012  8 Ru 3.04-3.34
3 Pm 0.3338 0.3338 0.0988  8 Ru 3.04-3.34
4 Pm 0.6662 0.6662 0.9012  8 Ru 3.04-3.34
5 Ru 0.5000 0.5000 0.5000  4 Ru 2.48
6 Ru 0.0000 0.0000 0.0000  4 Ru 2.48
7 Ru 0.6702 0.1702 0.7500  2 Ru 2.48
8 Ru 0.8298 0.3298 0.2500  2 Ru 2.48
9 Ru 0.1702 0.6702 0.7500  2 Ru 2.48
10 Ru 0.3298 0.8298 0.2500  2 Ru 2.48



Record 4
Computed, not measured: crystalline TbNi3Sb at its relaxed geometry at the PBE level of DFT.

## Properties
N(E_F) ... 2.6 states/eV/f.u.
Space-group type ... Imma
Raw formation energy ... -281 meV per atom

Cell lengths 5.3238, 7.0355, 6.6091 Å; angles 122.16, 113.75, 90.00 degrees
Closest atoms and distances in Å follow each position.
Fractional positions:
1 Tb 0.2500 0.3249 0.5000  6 Ni 2.73-2.92
2 Tb 0.7500 0.6751 0.5000  6 Ni 2.73-2.92
3 Ni 0.6266 0.1266 0.7533  5 Ni 2.49-2.66, 2 Sb 2.52
4 Ni 0.1266 0.1266 0.7533  5 Ni 2.49-2.66, 2 Sb 2.52
5 Ni 0.8734 0.8734 0.2467  5 Ni 2.49-2.66, 2 Sb 2.52
6 Ni 0.3734 0.8734 0.2467  5 Ni 2.49-2.66, 2 Sb 2.52
7 Ni 0.2500 0.7594 0.5000  2 Sb 2.46, 4 Ni 2.49, 2 Tb 2.73
8 Ni 0.7500 0.2406 0.5000  2 Sb 2.46, 4 Ni 2.49, 2 Tb 2.73
9 Sb 0.0000 0.5000 0.0000  6 Ni 2.46-2.52
10 Sb 0.5000 0.0000 0.0000  6 Ni 2.46-2.52



Record 5
Computed, not measured: crystalline ScBe at its relaxed geometry at the PBE level of DFT.

## Properties
Energy relative to the elements ... 0.3 eV per formula unit
N(E_F) ... 1.1 states/eV/f.u.
Space-group type ... Fddd

Cell lengths 6.6157, 8.2024, 10.0668 Å; angles 90.00, 90.00, 90.00 degrees
Closest atoms and distances in Å follow each position.
Fractional positions:
1 Sc 0.0000 0.8044 0.0000  6 Be 2.63-2.77
2 Sc 0.0000 0.1956 0.0000  6 Be 2.63-2.77
3 Sc 0.2500 0.9456 0.2500  6 Be 2.63-2.77
4 Sc 0.2500 0.5544 0.2500  6 Be 2.63-2.77
5 Sc 0.0000 0.3044 0.5000  6 Be 2.63-2.77
6 Sc 0.0000 0.6956 0.5000  6 Be 2.63-2.77
7 Sc 0.2500 0.4456 0.7500  6 Be 2.63-2.77
8 Sc 0.2500 0.0544 0.7500  6 Be 2.63-2.77
9 Sc 0.5000 0.8044 0.5000  6 Be 2.63-2.77
10 Sc 0.5000 0.1956 0.5000  6 Be 2.63-2.77
11 Sc 0.7500 0.9456 0.7500  6 Be 2.63-2.77
12 Sc 0.7500 0.5544 0.7500  6 Be 2.63-2.77
13 Sc 0.5000 0.3044 0.0000  6 Be 2.63-2.77
14 Sc 0.5000 0.6956 0.0000  6 Be 2.63-2.77
15 Sc 0.7500 0.4456 0.2500  6 Be 2.63-2.77
16 Sc 0.7500 0.0544 0.2500  6 Be 2.63-2.77
17 Be 0.3421 0.0000 0.0000  1 Be 2.09
18 Be 0.6579 0.0000 0.0000  1 Be 2.09
19 Be 0.9079 0.7500 0.2500  1 Be 2.09
20 Be 0.5921 0.7500 0.2500  1 Be 2.09
21 Be 0.3421 0.5000 0.5000  1 Be 2.09
22 Be 0.6579 0.5000 0.5000  1 Be 2.09
23 Be 0.9079 0.2500 0.7500  1 Be 2.09
24 Be 0.5921 0.2500 0.7500  1 Be 2.09
25 Be 0.8421 0.0000 0.5000  1 Be 2.09
26 Be 0.1579 0.0000 0.5000  1 Be 2.09
27 Be 0.4079 0.7500 0.7500  1 Be 2.09
28 Be 0.0921 0.7500 0.7500  1 Be 2.09
29 Be 0.8421 0.5000 0.0000  1 Be 2.09
30 Be 0.1579 0.5000 0.0000  1 Be 2.09
31 Be 0.4079 0.2500 0.2500  1 Be 2.09
32 Be 0.0921 0.2500 0.2500  1 Be 2.09



Record 6
Computed, not measured: crystalline Pr8Tl3In2 at its relaxed geometry at the PBE level of DFT.

## Properties
Energy relative to the elements ... -2.2 eV per formula unit
N(E_F) ... 16.5 states/eV/f.u.
Space-group type ... Cmmm

Cell lengths 5.7683, 9.2091, 9.4361 Å; angles 119.21, 90.00, 90.00 degrees
Closest atoms and distances in Å follow each position.
Fractional positions:
1 Pr 0.0002 0.6870 0.3740  2 In 3.25, 5 Pr 3.40-3.64, 2 Tl 3.48
2 Pr 0.9998 0.3130 0.6260  2 In 3.25, 5 Pr 3.40-3.64, 2 Tl 3.48
3 Pr 0.9999 0.1065 0.2131  4 Tl 3.38-3.47, 2 Pr 3.40-3.51, 2 In 3.45
4 Pr 0.0001 0.8935 0.7869  4 Tl 3.38-3.47, 2 Pr 3.40-3.51, 2 In 3.45
5 Pr 0.4999 0.5896 0.7646  2 In 3.19-3.27, 3 Tl 3.32-3.49
6 Pr 0.4999 0.1750 0.7646  2 In 3.19-3.27, 3 Tl 3.32-3.49
7 Pr 0.5001 0.8250 0.2354  2 In 3.19-3.27, 3 Tl 3.32-3.49
8 Pr 0.5001 0.4104 0.2354  2 In 3.19-3.27, 3 Tl 3.32-3.49
9 Tl 0.5000 0.0000 0.0000  8 Pr 3.32-3.38, 2 In 3.65
10 Tl 0.0000 0.3249 0.0000  1 Tl 3.23, 8 Pr 3.47-3.49
11 Tl 0.0000 0.6751 0.0000  1 Tl 3.23, 8 Pr 3.47-3.49
12 In 0.4997 0.2215 0.4429  8 Pr 3.19-3.45
13 In 0.5003 0.7785 0.5571  8 Pr 3.19-3.45



Record 7
Computed, not measured: crystalline BaZnCo4 at its relaxed geometry at the PBE level of DFT.

## Properties
Energy relative to the elements ... 2.7 eV per formula unit
N(E_F) ... 8.4 states/eV/f.u.
Space-group type ... F-43m

Cell lengths 5.1421, 5.1421, 5.1421 Å; angles 60.00, 60.00, 60.00 degrees
Closest atoms and distances in Å follow each position.
Fractional positions:
1 Ba 0.0000 0.0000 0.0000  12 Co 3.02, 4 Zn 3.15
2 Zn 0.7500 0.7500 0.7500  12 Co 3.01, 4 Ba 3.15
3 Co 0.8685 0.3772 0.3772  6 Co 2.53-2.62
4 Co 0.3772 0.3772 0.8685  6 Co 2.53-2.62
5 Co 0.3772 0.8685 0.3772  6 Co 2.53-2.62
6 Co 0.3772 0.3772 0.3772  6 Co 2.53-2.62



Record 8
Computed, not measured: crystalline Tb2TmCu2 at its relaxed geometry at the PBE level of DFT.

## Properties
Energy relative to the elements ... -0.8 eV per formula unit
N(E_F) ... 5.8 states/eV/f.u.
Space-group type ... P4/mbm
Relative energy among the computed polymorphs ... 0.000 eV/atom

Cell lengths 3.6997, 7.9107, 7.9107 Å; angles 90.00, 90.00, 90.00 degrees
Closest atoms and distances in Å follow each position.
Fractional positions:
1 Tb 0.5000 0.1657 0.6657  6 Cu 2.96-3.01
2 Tb 0.5000 0.6657 0.8343  6 Cu 2.96-3.01
3 Tb 0.5000 0.8343 0.3343  6 Cu 2.96-3.01
4 Tb 0.5000 0.3343 0.1657  6 Cu 2.96-3.01
5 Tm 0.0000 0.0000 0.0000  4 Cu 3.14, 8 Tb 3.48
6 Tm 0.0000 0.5000 0.5000  4 Cu 3.14, 8 Tb 3.48
7 Cu 0.0000 0.3776 0.8776  1 Cu 2.74, 6 Tb 2.96-3.01
8 Cu 0.0000 0.8776 0.6224  1 Cu 2.74, 6 Tb 2.96-3.01
9 Cu 0.0000 0.6224 0.1224  1 Cu 2.74, 6 Tb 2.96-3.01
10 Cu 0.0000 0.1224 0.3776  1 Cu 2.74, 6 Tb 2.96-3.01



Record 9
Computed, not measured: crystalline DyErAl2 at its relaxed geometry at the PBE level of DFT.

## Properties
Energy relative to the elements ... -0.7 eV per formula unit
N(E_F) ... 1.7 states/eV/f.u.
Space-group type ... R-3m

Cell lengths 3.5442, 3.5442, 9.4552 Å; angles 79.20, 79.20, 60.00 degrees
Closest atoms and distances in Å follow each position.
Fractional positions:
1 Dy 0.5000 0.5000 0.5000  6 Al 3.09
2 Al 0.7495 0.7495 0.7515  3 Er 3.07, 3 Dy 3.09
3 Al 0.2505 0.2505 0.2485  3 Er 3.07, 3 Dy 3.09
4 Er 0.0000 0.0000 0.0000  6 Al 3.07



Record 10
Computed, not measured: crystalline Cs2SbTe3 at its relaxed geometry at the PBE level of DFT.

## Properties
N(E_F) ... 0.3 states/eV/f.u.
Space-group type ... C2/c
Raw formation energy ... -620 meV per atom
Relative energy among the computed polymorphs ... 0.000 eV/atom

Cell lengths 7.5768, 9.0669, 9.0669 Å; angles 69.48, 89.66, 89.66 degrees
Closest atoms and distances in Å follow each position.
Fractional positions:
1 Cs 0.7451 0.1855 0.5158  6 Te 3.94-4.35
2 Cs 0.2451 0.5158 0.1855  6 Te 3.94-4.35
3 Cs 0.7549 0.4842 0.8145  6 Te 3.94-4.35
4 Cs 0.2549 0.8145 0.4842  6 Te 3.94-4.35
5 Sb 0.7500 0.9227 0.0773  5 Te 2.79-3.00
6 Sb 0.2500 0.0773 0.9227  5 Te 2.79-3.00
7 Te 0.2500 0.3471 0.6529  1 Sb 2.79
8 Te 0.7500 0.6529 0.3471  1 Sb 2.79
9 Te 0.0010 0.8554 0.8524  2 Sb 2.99-3.00
10 Te 0.4990 0.1476 0.1446  2 Sb 2.99-3.00
11 Te 0.5010 0.8524 0.8554  2 Sb 2.99-3.00
12 Te 0.9990 0.1446 0.1476  2 Sb 2.99-3.00



Record 11
Computed, not measured: crystalline Dy2CF2 at its relaxed geometry at the PBE level of DFT.

## Properties
Space-group type ... R-3m
Raw formation energy ... -2194 meV per atom

Cell lengths 3.4761, 3.4761, 8.4654 Å; angles 78.15, 78.15, 60.00 degrees
Closest atoms and distances in Å follow each position.
Fractional positions:
1 Dy 0.3911 0.3911 0.8266  3 F 2.41, 3 C 2.46
2 Dy 0.6089 0.6089 0.1734  3 F 2.41, 3 C 2.46
3 C 0.0000 0.0000 0.0000  6 Dy 2.46
4 F 0.8880 0.8880 0.3359  3 Dy 2.41
5 F 0.1120 0.1120 0.6641  3 Dy 2.41



Record 12
Computed, not measured: crystalline CaHo3 at its relaxed geometry at the PBE level of DFT.

## Properties
Energy relative to the elements ... 0.6 eV per formula unit
N(E_F) ... 6.9 states/eV/f.u.
Space-group type ... Pm-3m

Cell lengths 5.0747, 5.0747, 5.0747 Å; angles 90.00, 90.00, 90.00 degrees
Closest atoms and distances in Å follow each position.
Fractional positions:
1 Ca 0.0000 0.0000 0.0000  12 Ho 3.59
2 Ho 0.0000 0.5000 0.5000  8 Ho 3.59, 4 Ca 3.59
3 Ho 0.5000 0.0000 0.5000  8 Ho 3.59, 4 Ca 3.59
4 Ho 0.5000 0.5000 0.0000  8 Ho 3.59, 4 Ca 3.59